Entry from the Alexandria database: an optimized crystal structure of Mg3HgO (PBE).

Values from the calculation:
- Symmetry: Pm-3m (221)
- Theoretical density: 3.5 g/cm³
- Distance to the lowest polymorph of the same formula: 1428 meV per atom

Unit cell a=5.1450 b=5.1450 c=5.1450 alpha=90.00 beta=90.00 gamma=90.00
Positions (direct):
Mg1 0.0000 0.5000 0.0000
Mg2 0.0000 0.0000 0.5000
Hg1 0.0000 0.0000 0.0000
Mg3 0.5000 0.0000 0.0000
O1 0.5000 0.5000 0.5000